1.
## Ce3BiRu3 (GGA-PBE)

Data for a geometry-optimized Ce3BiRu3 structure.

a = 10.000 Å, b = 10.000 Å, c = 10.000 Å
α = 40.00°, β = 40.00°, γ = 40.00°
Atoms (fractional coordinates):
Ce  0.089  0.418  0.748
Ce  0.252  0.911  0.582
Ce  0.418  0.748  0.089
Ce  0.582  0.252  0.911
Ce  0.748  0.089  0.418
Ce  0.911  0.582  0.252
Bi  0.333  0.333  0.333
Bi  0.667  0.667  0.667
Ru  0.070  0.760  0.611
Ru  0.240  0.389  0.930
Ru  0.389  0.930  0.240
Ru  0.611  0.070  0.760
Ru  0.760  0.611  0.070
Ru  0.930  0.240  0.389

## Properties
Its density of states at the Fermi level is 18.089 states/eV per cell. The crystal system is trigonal. As for the electronic total energy: -0.2656 hartree per atom. As for the magnetization: 0.7 μB per formula unit. The calculation puts the energy of formation from the pure elements at -0.154 eV/atom.

---

2.
## Nb2AgPb (GGA-PBE)

Data for a geometry-optimized Nb2AgPb structure.

a = 6.147 Å, b = 6.147 Å, c = 6.147 Å
α = 102.58°, β = 102.58°, γ = 124.37°
Atoms (fractional coordinates):
Nb  0.119  0.625  0.994
Nb  0.375  0.369  0.494
Nb  0.631  0.125  0.006
Nb  0.875  0.881  0.506
Ag  0.000  0.000  0.000
Ag  0.750  0.250  0.500
Pb  0.250  0.750  0.500
Pb  0.500  0.500  0.000

## Properties
Its density of states at the Fermi level is 5.290 states/eV per cell. The crystal system is tetragonal. As for the electronic total energy: -0.2196 hartree per atom. As for the magnetization: 0.0 μB per formula unit. The calculation puts the energy of formation from the pure elements at 0.698 eV/atom.

---

3.
## AsWAu4 (GGA-PBE)

Data for a geometry-optimized AsWAu4 structure.

a = 5.475 Å, b = 5.475 Å, c = 5.475 Å
α = 60.00°, β = 60.00°, γ = 60.00°
Atoms (fractional coordinates):
As  0.000  0.000  0.000
W  0.250  0.250  0.250
Au  0.125  0.625  0.625
Au  0.625  0.125  0.625
Au  0.625  0.625  0.125
Au  0.625  0.625  0.625

## Properties
Its density of states at the Fermi level is 3.499 states/eV per cell. The crystal system is cubic. As for the electronic total energy: -0.1598 hartree per atom. As for the magnetization: 3.0 μB per formula unit. The calculation puts the energy of formation from the pure elements at 0.770 eV/atom.

---

4.
## Pa3Be2Ni6 (GGA-PBE)

Data for a geometry-optimized Pa3Be2Ni6 structure.

a = 7.397 Å, b = 7.397 Å, c = 7.397 Å
α = 109.47°, β = 109.47°, γ = 109.47°
Atoms (fractional coordinates):
Pa  0.000  0.270  0.270
Pa  0.000  0.730  0.730
Pa  0.270  0.000  0.270
Pa  0.270  0.270  0.000
Pa  0.730  0.000  0.730
Pa  0.730  0.730  0.000
Be  0.000  0.000  0.500
Be  0.000  0.500  0.000
Be  0.500  0.000  0.000
Be  0.500  0.500  0.500
Ni  0.000  0.339  0.661
Ni  0.000  0.661  0.339
Ni  0.322  0.661  0.661
Ni  0.339  0.000  0.661
Ni  0.339  0.339  0.678
Ni  0.339  0.661  0.000
Ni  0.339  0.678  0.339
Ni  0.661  0.000  0.339
Ni  0.661  0.322  0.661
Ni  0.661  0.339  0.000
Ni  0.661  0.661  0.322
Ni  0.678  0.339  0.339

## Properties
Its density of states at the Fermi level is 18.647 states/eV per cell. The crystal system is cubic. As for the electronic total energy: -0.2502 hartree per atom. As for the magnetization: 0.0 μB per formula unit. The calculation puts the energy of formation from the pure elements at -0.387 eV/atom.

---

5.
## Cd2HgAs (GGA-PBE)

Data for a geometry-optimized Cd2HgAs structure.

a = 9.152 Å, b = 9.152 Å, c = 9.152 Å
α = 21.83°, β = 21.83°, γ = 21.83°
Atoms (fractional coordinates):
Cd  0.000  0.000  0.000
Cd  0.249  0.249  0.249
Hg  0.496  0.496  0.496
As  0.745  0.745  0.745

## Properties
Its density of states at the Fermi level is 1.369 states/eV per cell. The crystal system is trigonal. The energy above the most stable polymorph in this dataset comes out at 0.131 eV per atom. As for the electronic total energy: -0.0570 hartree per atom. As for the magnetization: 0.0 μB per formula unit. The calculation puts the energy of formation from the pure elements at 0.145 eV/atom.

---

6.
## PmNpZn17 (GGA-PBE)

Data for a geometry-optimized PmNpZn17 structure.

a = 6.817 Å, b = 6.817 Å, c = 6.817 Å
α = 82.68°, β = 82.68°, γ = 82.68°
Atoms (fractional coordinates):
Pm  0.000  0.000  0.000
Np  0.671  0.671  0.671
Zn  0.040  0.337  0.631
Zn  0.040  0.631  0.337
Zn  0.178  0.687  0.687
Zn  0.237  0.237  0.237
Zn  0.336  0.336  0.836
Zn  0.336  0.836  0.336
Zn  0.337  0.040  0.631
Zn  0.337  0.631  0.040
Zn  0.437  0.437  0.437
Zn  0.500  0.981  0.981
Zn  0.631  0.040  0.337
Zn  0.631  0.337  0.040
Zn  0.687  0.178  0.687
Zn  0.687  0.687  0.178
Zn  0.836  0.336  0.336
Zn  0.981  0.500  0.981
Zn  0.981  0.981  0.500

## Properties
Its density of states at the Fermi level is 14.062 states/eV per cell. The crystal system is trigonal. As for the electronic total energy: -0.0818 hartree per atom. As for the magnetization: 4.2 μB per formula unit. The calculation puts the energy of formation from the pure elements at -0.154 eV/atom.

---

7.
## KSn2 (GGA-PBE)

Data for a geometry-optimized KSn2 structure.

a = 6.732 Å, b = 6.732 Å, c = 6.732 Å
α = 133.89°, β = 104.85°, γ = 92.89°
Atoms (fractional coordinates):
K  0.319  0.069  0.250
K  0.681  0.931  0.750
Sn  0.090  0.658  0.432
Sn  0.274  0.342  0.932
Sn  0.726  0.658  0.068
Sn  0.910  0.342  0.568

## Properties
Its density of states at the Fermi level is 3.200 states/eV per cell. The crystal system is orthorhombic. As for the electronic total energy: -0.1191 hartree per atom. As for the magnetization: 0.0 μB per formula unit. The calculation puts the energy of formation from the pure elements at -0.205 eV/atom.

---

8.
## TiNb2Co (GGA-PBE)

Data for a geometry-optimized TiNb2Co structure.

a = 4.449 Å, b = 4.449 Å, c = 3.193 Å
α = 90.00°, β = 90.00°, γ = 90.00°
Atoms (fractional coordinates):
Ti  0.000  0.000  0.000
Nb  0.000  0.500  0.500
Nb  0.500  0.000  0.500
Co  0.500  0.500  0.000

## Properties
Its density of states at the Fermi level is 5.307 states/eV per cell. The crystal system is tetragonal. The energy above the most stable polymorph in this dataset comes out at 0.091 eV per atom. As for the electronic total energy: -0.3225 hartree per atom. As for the magnetization: 0.9 μB per formula unit. The calculation puts the energy of formation from the pure elements at 0.010 eV/atom.

---

9.
## Ba2BiPdPb (GGA-PBE)

Data for a geometry-optimized Ba2BiPdPb structure.

a = 6.097 Å, b = 6.097 Å, c = 5.229 Å
α = 90.00°, β = 90.00°, γ = 90.00°
Atoms (fractional coordinates):
Ba  0.000  0.500  0.000
Ba  0.500  0.000  0.000
Bi  0.000  0.000  0.500
Pd  0.500  0.500  0.000
Pb  0.500  0.500  0.500

## Properties
Its density of states at the Fermi level is 2.215 states/eV per cell. The crystal system is tetragonal. As for the electronic total energy: -0.1420 hartree per atom. As for the magnetization: 0.0 μB per formula unit. The calculation puts the energy of formation from the pure elements at -0.539 eV/atom.

---

10.
## La2Y2Ge2H (GGA-PBE)

Data for a geometry-optimized La2Y2Ge2H structure.

a = 8.920 Å, b = 8.920 Å, c = 8.920 Å
α = 150.45°, β = 150.45°, γ = 42.28°
Atoms (fractional coordinates):
La  0.181  0.181  0.000
La  0.819  0.819  0.000
Y  0.000  0.500  0.500
Y  0.500  0.000  0.500
Ge  0.374  0.374  0.000
Ge  0.626  0.626  0.000
H  0.000  0.000  0.000

## Properties
Its density of states at the Fermi level is 5.123 states/eV per cell. The crystal system is tetragonal. As for the electronic total energy: -0.2107 hartree per atom. As for the magnetization: 1.8 μB per formula unit.

---

11.
## TaTcMo2 (GGA-PBE)

Data for a geometry-optimized TaTcMo2 structure.

a = 2.830 Å, b = 2.830 Å, c = 8.166 Å
α = 90.00°, β = 90.00°, γ = 90.00°
Atoms (fractional coordinates):
Ta  0.000  0.000  0.000
Tc  0.000  0.000  0.500
Mo  0.500  0.500  0.272
Mo  0.500  0.500  0.728

## Properties
Its density of states at the Fermi level is 4.154 states/eV per cell. The crystal system is tetragonal. The energy above the most stable polymorph in this dataset comes out at 0.368 eV per atom. As for the electronic total energy: -0.3962 hartree per atom. As for the magnetization: 0.0 μB per formula unit. The calculation puts the energy of formation from the pure elements at 0.190 eV/atom.

---

12.
## Rb3CeGe2O8 (GGA-PBE)

Data for a geometry-optimized Rb3CeGe2O8 structure.

a = 6.077 Å, b = 6.077 Å, c = 8.101 Å
α = 90.00°, β = 90.00°, γ = 120.00°
Atoms (fractional coordinates):
Rb  0.000  0.000  0.000
Rb  0.333  0.667  0.709
Rb  0.667  0.333  0.291
Ce  0.000  0.000  0.500
Ge  0.333  0.667  0.263
Ge  0.667  0.333  0.737
O  0.174  0.348  0.338
O  0.174  0.826  0.338
O  0.333  0.667  0.046
O  0.348  0.174  0.662
O  0.652  0.826  0.338
O  0.667  0.333  0.954
O  0.826  0.174  0.662
O  0.826  0.652  0.662

## Properties
Its density of states at the Fermi level is 7.058 states/eV per cell. The crystal system is trigonal. The formation energy (no corrections) is -1.984 eV/atom. As for the electronic total energy: -0.2245 hartree per atom. As for the magnetization: 1.0 μB per formula unit.

---

13.
## FeAsI2 (GGA-PBE)

Data for a geometry-optimized FeAsI2 structure.

a = 7.457 Å, b = 7.457 Å, c = 7.457 Å
α = 121.12°, β = 121.12°, γ = 88.07°
Atoms (fractional coordinates):
Fe  0.000  0.000  0.000
Fe  0.750  0.250  0.500
As  0.250  0.750  0.500
As  0.500  0.500  0.000
I  0.049  0.625  0.924
I  0.375  0.299  0.424
I  0.701  0.125  0.076
I  0.875  0.951  0.576

## Properties
Its density of states at the Fermi level is 7.677 states/eV per cell. The crystal system is tetragonal. The energy above the most stable polymorph in this dataset comes out at 0.000 eV per atom. The formation energy (no corrections) is 0.624 eV/atom. As for the electronic total energy: -0.1260 hartree per atom. As for the magnetization: 1.0 μB per formula unit.

---

14.
## Ce4Pm3Os2 (GGA-PBE)

Data for a geometry-optimized Ce4Pm3Os2 structure.

a = 8.157 Å, b = 8.157 Å, c = 9.498 Å
α = 116.88°, β = 116.88°, γ = 26.66°
Atoms (fractional coordinates):
Ce  0.104  0.104  0.173
Ce  0.328  0.328  0.490
Ce  0.672  0.672  0.510
Ce  0.896  0.896  0.827
Pm  0.000  0.000  0.500
Pm  0.358  0.358  0.131
Pm  0.642  0.642  0.869
Os  0.251  0.251  0.763
Os  0.749  0.749  0.237

## Properties
Its density of states at the Fermi level is 18.662 states/eV per cell. The crystal system is monoclinic. As for the electronic total energy: -0.2484 hartree per atom. As for the magnetization: 1.6 μB per formula unit. The calculation puts the energy of formation from the pure elements at -0.044 eV/atom.

---

15.
## LiCa2La2 (GGA-PBE)

Data for a geometry-optimized LiCa2La2 structure.

a = 7.893 Å, b = 7.893 Å, c = 6.030 Å
α = 90.00°, β = 90.00°, γ = 90.00°
Atoms (fractional coordinates):
Li  0.000  0.000  0.000
Li  0.500  0.500  0.000
Ca  0.172  0.328  0.500
Ca  0.328  0.828  0.500
Ca  0.672  0.172  0.500
Ca  0.828  0.672  0.500
La  0.132  0.632  0.000
La  0.368  0.132  0.000
La  0.632  0.868  0.000
La  0.868  0.368  0.000

## Properties
Its density of states at the Fermi level is 13.505 states/eV per cell. The crystal system is tetragonal. The energy above the most stable polymorph in this dataset comes out at 0.218 eV per atom. As for the electronic total energy: -0.1067 hartree per atom. As for the magnetization: 0.0 μB per formula unit. The calculation puts the energy of formation from the pure elements at 0.251 eV/atom.